Record 1
DFT (PBE) results for crystalline Er3AgO at its relaxed geometry.

Lattice parameters (Å, degrees): 4.7021 4.7021 4.7021 90.00 90.00 90.00
Fractional positions:
1 O 0.0000 0.0000 0.0000
2 Er 0.0000 0.5000 0.0000
3 Er 0.5000 0.0000 0.0000
4 Er 0.0000 0.0000 0.5000
5 Ag 0.5000 0.5000 0.5000

## Properties
* size of the total moment: 0.00 μB/cell
* space-group type: Pm-3m, No. 221
* DOS(E_F): 1.0531 states/eV/atom

Record 2
DFT (PBE) results for crystalline ErAgO3 at its relaxed geometry.

Lattice parameters (Å, degrees): 3.9049 5.8294 6.1924 90.00 108.38 90.00
Fractional positions:
1 O 0.8359 0.5234 0.6717
2 O 0.5033 0.2500 0.0066
3 O 0.4967 0.7500 0.9934
4 O 0.1641 0.4766 0.3283
5 O 0.8359 0.9766 0.6717
6 O 0.1641 0.0234 0.3283
7 Ag 0.0256 0.7500 0.0513
8 Ag 0.9744 0.2500 0.9487
9 Er 0.6971 0.2500 0.3942
10 Er 0.3029 0.7500 0.6058

## Properties
* size of the total moment: 0.00 μB/cell
* space-group type: Cmcm, No. 63
* DOS(E_F): 0.5607 states/eV/atom

Record 3
DFT (PBE) results for crystalline Er3Ag5O12 at its relaxed geometry.

Lattice parameters (Å, degrees): 11.2323 11.2323 11.2323 109.47 109.47 109.47
Fractional positions:
1 O 0.4124 0.0509 0.3362
2 O 0.0509 0.4124 0.8362
3 O 0.7853 0.4491 0.3614
4 O 0.5761 0.7147 0.6638
5 O 0.1638 0.0761 0.7147
6 O 0.6386 0.5876 0.9239
7 O 0.2147 0.5509 0.6386
8 O 0.8614 0.5761 0.9124
9 O 0.9124 0.8362 0.5509
10 O 0.5876 0.6386 0.4239
11 O 0.7853 0.3362 0.9239
12 O 0.3614 0.9491 0.7853
13 O 0.4124 0.3614 0.5761
14 O 0.4491 0.6638 0.0876
15 O 0.3614 0.4124 0.0761
16 O 0.0761 0.9124 0.3614
17 O 0.3362 0.7853 0.4239
18 O 0.1386 0.4239 0.0876
19 O 0.7147 0.5761 0.1638
20 O 0.0876 0.1638 0.4491
21 O 0.8362 0.9124 0.0509
22 O 0.6386 0.0509 0.2147
23 O 0.5509 0.2147 0.1386
24 O 0.0761 0.1638 0.2147
25 O 0.3362 0.5509 0.4124
26 O 0.9491 0.3614 0.2853
27 O 0.9239 0.8362 0.7853
28 O 0.7147 0.1386 0.0509
29 O 0.4239 0.2853 0.3362
30 O 0.5509 0.3362 0.9124
31 O 0.9491 0.5876 0.1638
32 O 0.1386 0.7147 0.5509
33 O 0.2853 0.4239 0.8362
34 O 0.9124 0.0761 0.8614
35 O 0.5761 0.8614 0.4124
36 O 0.0876 0.9239 0.1386
37 O 0.8614 0.2853 0.4491
38 O 0.2147 0.6638 0.0761
39 O 0.4491 0.7853 0.8614
40 O 0.2853 0.8614 0.9491
41 O 0.6638 0.2147 0.5761
42 O 0.4239 0.1386 0.5876
43 O 0.0509 0.6386 0.7147
44 O 0.9239 0.0876 0.6386
45 O 0.5876 0.9491 0.6638
46 O 0.8362 0.9239 0.2853
47 O 0.6638 0.4491 0.5876
48 O 0.1638 0.0876 0.9491
49 Er 0.8750 0.7500 0.1250
50 Er 0.2500 0.1250 0.3750
51 Er 0.7500 0.8750 0.6250
52 Er 0.3750 0.6250 0.2500
53 Er 0.2500 0.6250 0.8750
54 Er 0.1250 0.8750 0.7500
55 Er 0.6250 0.2500 0.3750
56 Er 0.8750 0.1250 0.2500
57 Er 0.7500 0.3750 0.1250
58 Er 0.1250 0.2500 0.8750
59 Er 0.3750 0.7500 0.6250
60 Er 0.6250 0.3750 0.7500
61 Ag 0.1250 0.3750 0.2500
62 Ag 0.0000 0.0000 0.0000
63 Ag 0.5000 0.5000 0.5000
64 Ag 0.3750 0.1250 0.7500
65 Ag 0.2500 0.3750 0.6250
66 Ag 0.3750 0.2500 0.1250
67 Ag 0.8750 0.2500 0.6250
68 Ag 0.6250 0.8750 0.2500
69 Ag 0.5000 0.0000 0.5000
70 Ag 0.0000 0.5000 0.0000
71 Ag 0.0000 0.5000 0.5000
72 Ag 0.2500 0.8750 0.1250
73 Ag 0.6250 0.7500 0.8750
74 Ag 0.5000 0.0000 0.0000
75 Ag 0.7500 0.1250 0.8750
76 Ag 0.8750 0.6250 0.7500
77 Ag 0.0000 0.0000 0.5000
78 Ag 0.7500 0.6250 0.3750
79 Ag 0.5000 0.5000 0.0000
80 Ag 0.1250 0.7500 0.3750

## Properties
* size of the total moment: 0.00 μB/cell
* space-group type: Ia-3d, No. 230
* DOS(E_F): 0.7313 states/eV/atom

Record 4
DFT (PBE) results for crystalline ErAgOsO6 at its relaxed geometry.

Lattice parameters (Å, degrees): 5.5046 5.5050 4.7732 89.98 90.00 59.99
Fractional positions:
1 Er 0.6666 0.6667 0.5000
2 O 0.3463 0.6092 0.2751
3 O 0.6090 0.0446 0.2751
4 O 0.3464 0.0445 0.7249
5 O 0.0445 0.3465 0.2751
6 O 0.0446 0.6089 0.7249
7 O 0.6091 0.3463 0.7249
8 Ag 0.9999 0.0000 0.0000
9 Os 0.3333 0.3333 0.5000

## Properties
* size of the total moment: 0.00 μB/cell
* space-group type: P312, No. 149
* DOS(E_F): 0.0278 states/eV/atom

Formation energy without anion corrections values, unit eV per atom, following the record order: -1.234, -1.591, -1.153, -1.437.
Density values, unit Mg/m³, following the record order: 10.0, 8.0, 7.5, 7.4.